DFT (PBE with a Hubbard U) results for an optimized crystal structure of BaSmVO4.

Cell: 6.089 5.944 7.258 Å, 90.00 108.64 90.00°
Last column: magnetic moment on the atom in μB.
Atoms (fractional coordinates):
Sm 0.817 0.750 0.462  0.01
Sm 0.183 0.250 0.538  0.01
O 0.967 0.480 0.699  0.00
O 0.033 0.520 0.301  0.00
O 0.033 0.980 0.301  0.00
O 0.528 0.250 0.828  -0.01
O 0.472 0.750 0.172  -0.01
O 0.494 0.750 0.579  0.00
O 0.506 0.250 0.421  0.00
O 0.967 0.020 0.699  0.00
V 0.276 0.750 0.331  1.83
V 0.724 0.250 0.669  1.83
Ba 0.282 0.250 0.062  0.01
Ba 0.718 0.750 0.938  0.01

## Properties
Symmetry: P2_1/m (11)
Energy in eV/cell: -104.31
M_tot in μB per cell: 4.00